The following is a PBE-GGA calculation of a geometry-optimized CePa3 structure, from the Alexandria database.

a = 2.859 Å, b = 4.089 Å, c = 8.179 Å
α = 90.00°, β = 90.00°, γ = 90.00°
Positions (direct):
1 Ce 0.000 0.000 0.000
2 Pa 0.000 0.000 0.500
3 Pa 0.000 0.500 0.253
4 Pa 0.000 0.500 0.747

## Properties
For the total energy, the calculation gives -8.03 eV per atom. Its distance to the lowest polymorph of the same formula is 544 meV per atom. Its crystal system is orthorhombic. For the formation enthalpy at 0 K, the calculation gives 55.97 kJ per mole of atoms.